1.
FeBSb2Te | the Alexandria database | PBE | optimized geometry; magnetization = 2.8 Bohr magnetons per cell; DOS at the Fermi energy = 0.8486 states/eV per atom; energy above the most stable polymorph in this dataset = 0 meV per atom; V = 20.813 Å³/atom; E = -4.2414 eV per atom; formation energy from raw total energies = 1.0640 eV/atom
1.0
4.6885 0.0000 0.0000
0.0000 4.6885 0.0000
0.0000 0.0000 4.7341
Fe Te B Sb
1 1 1 2
direct
0.5000 0.5000 0.5000 Fe
0.0000 0.0000 0.5000 Te
0.0000 0.0000 0.0000 B
0.0000 0.5000 0.0000 Sb
0.5000 0.0000 0.0000 Sb

---

2.
FeBSbTe2 | the Alexandria database | PBE | optimized geometry; magnetization = 0.0 Bohr magnetons per cell; DOS at the Fermi energy = 1.6798 states/eV per atom; energy above the most stable polymorph in this dataset = 6 meV per atom; V = 20.850 Å³/atom; E = -3.8688 eV per atom; formation energy from raw total energies = 1.2404 eV/atom
1.0
4.7365 0.0000 0.0000
0.0000 4.7365 0.0000
0.0000 0.0000 4.6470
Sb Fe Te B
1 1 2 1
direct
0.0000 0.0000 0.5000 Sb
0.5000 0.5000 0.5000 Fe
0.5000 0.0000 0.0000 Te
0.0000 0.5000 0.0000 Te
0.0000 0.0000 0.0000 B